Li4MgHg | Alexandria | PBE | relaxed; theoretical density = 3.91 g cm⁻³; electronic total energy = -1.679 eV per atom; symmetry = F-43m, No. 216; ΔH_f (0 K) = -0.087 eV per atom; polymorph energy (0 for the lowest one) = 0.63 eV per formula unit
1.0
1.353 3.703 3.591
-3.760 3.066 2.214
-1.300 -0.660 5.129
Li Mg Hg
4 1 1
Direct
0.877 0.374 0.374
0.374 0.374 0.877
0.374 0.374 0.374
0.374 0.877 0.374
0.750 0.750 0.750
0.000 0.000 0.000

=====

Ce2AlZn16 | Alexandria | PBE | relaxed; theoretical density = 7.17 g cm⁻³; electronic total energy = -2.120 eV per atom; symmetry = R3m, No. 160; ΔH_f (0 K) = -0.226 eV per atom
1.0
6.793 0.035 0.805
0.720 6.755 0.805
0.039 0.035 6.841
Zn Al Ce
16 1 2
Direct
0.497 0.001 0.001
0.000 0.296 0.704
0.704 0.296 0.000
0.648 0.161 0.648
0.351 0.351 0.838
0.351 0.838 0.351
0.161 0.648 0.648
0.001 0.001 0.497
0.296 0.704 0.000
0.000 0.704 0.296
0.704 0.000 0.296
0.838 0.351 0.351
0.296 0.000 0.704
0.100 0.100 0.100
0.001 0.497 0.001
0.648 0.648 0.161
0.902 0.902 0.902
0.336 0.336 0.336
0.664 0.664 0.664

=====

MgP2I | Alexandria | PBE | relaxed; formation energy from raw total energies = 0.51 eV/atom; theoretical density = 3.14 g cm⁻³; electronic total energy = -2.978 eV per atom; symmetry = I-42d, No. 122; polymorph energy (0 for the lowest one) = 0.00 eV per formula unit
1.0
5.615 0.000 0.000
0.000 5.615 0.000
2.808 2.808 7.162
I Mg P
2 2 4
Direct
0.000 0.000 0.000
0.750 0.250 0.500
0.250 0.750 0.500
0.500 0.500 0.000
0.375 0.404 0.750
0.875 0.846 0.750
0.154 0.625 0.250
0.596 0.125 0.250

=====

AcNi6Ge4 | Alexandria | PBE | relaxed; theoretical density = 8.88 g cm⁻³; electronic total energy = -5.611 eV per atom; symmetry = P-6m2, No. 187; ΔH_f (0 K) = -0.405 eV per atom
1.0
3.946 0.000 0.000
0.000 6.897 0.000
0.000 -3.448 5.973
Ni Ge Ac
6 4 1
Direct
0.000 0.924 0.462
0.000 0.538 0.462
0.500 0.209 0.791
0.000 0.538 0.076
0.500 0.209 0.417
0.500 0.583 0.791
0.000 0.333 0.667
0.500 0.800 0.601
0.500 0.800 0.200
0.500 0.399 0.200
0.000 0.000 0.000

=====

Re3Ir | Alexandria | PBE | relaxed; theoretical density = 21.02 g cm⁻³; electronic total energy = -11.597 eV per atom; symmetry = C2/m, No. 12; ΔH_f (0 K) = -0.046 eV per atom
1.0
-0.807 1.450 -2.184
-3.931 -1.992 1.852
0.157 4.019 2.611
Re Ir
3 1
Direct
0.249 0.499 0.750
0.751 0.501 0.250
0.500 0.000 0.500
0.000 0.000 0.000

=====

PmIrOs | Alexandria | PBE | relaxed; theoretical density = 15.53 g cm⁻³; electronic total energy = -8.714 eV per atom; symmetry = Imma, No. 74; ΔH_f (0 K) = -0.433 eV per atom; polymorph energy (0 for the lowest one) = 0.00 eV per formula unit
1.0
4.542 0.000 2.550
1.546 4.559 2.567
-0.075 0.127 5.454
Os Ir Pm
2 2 2
Direct
0.500 0.000 0.000
0.000 0.000 0.000
0.500 0.500 0.000
0.500 0.000 0.500
0.124 0.626 0.626
0.876 0.374 0.374

=====

LiLaTe2 | Alexandria | PBE | relaxed; formation energy from raw total energies = -1.23 eV/atom; theoretical density = 5.63 g cm⁻³; electronic total energy = -4.513 eV per atom; symmetry = C2/c, No. 15
1.0
-1.892 -5.327 -6.315
3.610 -5.818 -0.173
0.471 -2.811 6.229
Te Li La
4 2 2
Direct
0.692 0.441 0.324
0.308 0.559 0.676
0.808 0.824 0.941
0.192 0.176 0.059
0.250 0.696 0.196
0.750 0.304 0.804
0.250 0.100 0.600
0.750 0.900 0.400

=====

KBa2Sr7 | Alexandria | PBE | relaxed; theoretical density = 1.94 g cm⁻³; electronic total energy = -1.225 eV per atom; symmetry = Cmmm, No. 65; ΔH_f (0 K) = 0.447 eV per atom
1.0
6.819 0.000 0.000
0.000 11.707 2.953
0.000 4.680 11.129
Ba Sr K
2 7 1
Direct
0.500 0.288 0.288
0.500 0.712 0.712
0.500 0.076 0.718
0.000 0.187 0.187
0.500 0.282 0.924
0.500 0.500 0.500
0.500 0.924 0.282
0.000 0.813 0.813
0.500 0.718 0.076
0.000 0.000 0.000

=====

Tb4Sm2Dy2Tm | Alexandria | PBE | relaxed; theoretical density = 8.22 g cm⁻³; electronic total energy = -4.617 eV per atom; symmetry = C2/m, No. 12; ΔH_f (0 K) = 0.009 eV per atom
1.0
3.594 0.000 0.000
-1.797 9.317 -0.485
0.000 -3.693 8.818
Tb Tm Sm Dy
4 1 2 2
Direct
0.185 0.369 0.332
0.815 0.631 0.668
0.518 0.037 0.330
0.482 0.963 0.670
0.000 0.000 0.000
0.148 0.296 0.666
0.852 0.704 0.334
0.334 0.668 0.000
0.666 0.332 0.000

=====

Ti2VHgH | Alexandria | PBE | relaxed; theoretical density = 8.47 g cm⁻³; electronic total energy = -5.820 eV per atom; symmetry = P4/mmm, No. 123
1.0
-2.760 -2.201 2.241
2.405 -3.399 -0.377
1.888 0.971 3.279
V Ti H Hg
1 2 1 1
Direct
0.000 0.000 0.500
0.000 0.500 0.000
0.500 0.000 0.000
0.000 0.000 0.000
0.500 0.500 0.500

=====

Ce2Cu2Pd5Au | Alexandria | PBE | relaxed; theoretical density = 10.66 g cm⁻³; electronic total energy = -5.487 eV per atom; symmetry = P4/mbm, No. 127; ΔH_f (0 K) = -0.557 eV per atom
1.0
4.000 0.000 0.000
0.000 9.407 0.000
0.000 0.000 9.407
Cu Pd Ce Au
4 10 4 2
Direct
0.000 0.882 0.382
0.000 0.618 0.882
0.000 0.118 0.618
0.000 0.382 0.118
0.500 0.430 0.293
0.500 0.207 0.070
0.500 0.930 0.207
0.500 0.707 0.430
0.500 0.570 0.707
0.500 0.293 0.570
0.500 0.000 0.500
0.500 0.500 0.000
0.500 0.070 0.793
0.500 0.793 0.930
0.000 0.180 0.320
0.000 0.820 0.680
0.000 0.680 0.180
0.000 0.320 0.820
0.000 0.500 0.500
0.000 0.000 0.000

=====

PmGdDyRu | Alexandria | PBE | relaxed; theoretical density = 9.43 g cm⁻³; electronic total energy = -8.037 eV per atom; symmetry = F-43m, No. 216; ΔH_f (0 K) = 0.140 eV per atom
1.0
-1.424 -0.777 4.945
0.828 -4.619 2.251
3.622 -0.476 3.707
Gd Pm Ru Dy
1 1 1 1
Direct
0.000 0.000 0.000
0.500 0.500 0.500
0.250 0.250 0.250
0.750 0.750 0.750

=====

Li2ThAs2 | Alexandria | PBE | relaxed; theoretical density = 6.77 g cm⁻³; electronic total energy = -5.004 eV per atom; symmetry = I4/mmm, No. 139; ΔH_f (0 K) = -0.894 eV per atom
1.0
-0.468 -2.878 2.669
1.027 -2.686 -2.712
6.237 -2.207 1.654
Th As Li
1 2 2
Direct
0.000 0.000 0.000
0.618 0.618 0.763
0.382 0.382 0.237
0.250 0.750 0.500
0.750 0.250 0.500

=====

LuSc2Ta | Alexandria | PBE | relaxed; theoretical density = 7.97 g cm⁻³; electronic total energy = -7.069 eV per atom; symmetry = R-3m, No. 166; ΔH_f (0 K) = 0.190 eV per atom; polymorph energy (0 for the lowest one) = 0.00 eV per formula unit
1.0
3.178 0.000 0.000
1.589 2.752 0.000
1.589 0.917 10.627
Lu Ta Sc
1 1 2
Direct
0.500 0.500 0.500
0.000 0.000 0.000
0.258 0.258 0.227
0.742 0.742 0.773

=====

Ca2ThIrN4 | Alexandria | PBE | relaxed; formation energy from raw total energies = -0.60 eV/atom; theoretical density = 7.79 g cm⁻³; electronic total energy = -7.297 eV per atom; symmetry = Cmcm, No. 63
1.0
3.477 0.000 0.000
-1.738 5.829 0.000
0.000 0.000 11.784
N Th Ir Ca
8 2 2 4
Direct
0.000 0.000 0.000
0.557 0.114 0.250
0.278 0.557 0.361
0.722 0.443 0.861
0.722 0.443 0.639
0.443 0.886 0.750
0.000 0.000 0.500
0.278 0.557 0.139
0.112 0.224 0.750
0.888 0.776 0.250
0.851 0.702 0.750
0.149 0.298 0.250
0.371 0.742 0.960
0.629 0.258 0.460
0.629 0.258 0.040
0.371 0.742 0.540

=====

Hf2Tl2Ir | Alexandria | PBE | relaxed; theoretical density = 13.42 g cm⁻³; electronic total energy = -6.600 eV per atom; symmetry = P4/mbm, No. 127; ΔH_f (0 K) = 0.100 eV per atom; polymorph energy (0 for the lowest one) = 0.00 eV per formula unit
1.0
-1.617 5.786 -3.272
-6.183 -2.545 -1.445
-1.806 1.937 4.318
Hf Tl Ir
4 4 2
Direct
0.160 0.340 0.000
0.840 0.660 0.000
0.660 0.160 0.000
0.340 0.840 0.000
0.334 0.166 0.500
0.834 0.334 0.500
0.166 0.666 0.500
0.666 0.834 0.500
0.500 0.500 0.000
0.000 0.000 0.000

=====

MnZnAs2 | Alexandria | PBE | relaxed; theoretical density = 6.69 g cm⁻³; electronic total energy = -4.759 eV per atom; symmetry = P4/mmm, No. 123; ΔH_f (0 K) = 0.177 eV per atom
1.0
-2.883 2.923 -1.468
-2.721 -1.058 3.238
1.470 2.476 2.044
As Zn Mn
2 1 1
Direct
0.000 0.000 0.000
0.500 0.500 0.000
0.000 0.500 0.500
0.500 0.000 0.500

=====

NaTmPb3 | Alexandria | PBE | relaxed; theoretical density = 9.32 g cm⁻³; electronic total energy = -3.563 eV per atom; symmetry = P2/c, No. 13; ΔH_f (0 K) = -0.180 eV per atom
1.0
6.372 0.058 0.000
-0.074 6.471 0.000
0.000 0.000 14.061
Na Pb Tm
4 12 4
Direct
0.750 0.500 0.898
0.250 0.500 0.102
0.250 0.000 0.102
0.750 0.000 0.898
0.250 0.000 0.505
0.709 0.750 0.107
0.489 0.250 0.290
0.750 0.500 0.495
0.291 0.250 0.893
0.989 0.250 0.710
0.791 0.250 0.107
0.209 0.750 0.893
0.250 0.500 0.505
0.511 0.750 0.710
0.011 0.750 0.290
0.750 0.000 0.495
0.003 0.750 0.684
0.997 0.250 0.316
0.497 0.250 0.684
0.503 0.750 0.316

=====

SmDy6Ho2Sc | Alexandria | PBE | relaxed; theoretical density = 7.97 g cm⁻³; electronic total energy = -4.654 eV per atom; symmetry = C2/c, No. 15; ΔH_f (0 K) = 0.128 eV per atom
1.0
8.936 -1.943 -2.017
0.838 8.432 -1.944
0.838 -2.255 8.354
Sm Dy Ho Sc
2 12 4 2
Direct
0.750 0.024 0.976
0.250 0.976 0.024
0.555 0.755 0.126
0.885 0.292 0.510
0.311 0.996 0.438
0.189 0.562 0.004
0.385 0.510 0.292
0.445 0.245 0.874
0.115 0.708 0.490
0.615 0.490 0.708
0.945 0.874 0.245
0.811 0.438 0.996
0.055 0.126 0.755
0.689 0.004 0.562
0.952 0.693 0.797
0.048 0.307 0.203
0.548 0.203 0.307
0.452 0.797 0.693
0.750 0.585 0.415
0.250 0.415 0.585

=====

TcSF3 | Alexandria | PBE | relaxed; formation energy from raw total energies = 0.13 eV/atom; theoretical density = 3.84 g cm⁻³; electronic total energy = -3.890 eV per atom; symmetry = Pm-3m, No. 221; polymorph energy (0 for the lowest one) = 8.03 eV per formula unit
1.0
-1.429 -4.040 -0.575
1.853 -1.185 3.723
-3.636 0.984 2.123
F Tc S
3 1 1
Direct
0.000 0.000 0.500
0.500 0.000 0.000
0.000 0.500 0.000
0.500 0.500 0.500
0.000 0.000 0.000

=====

LiNdCoH6 | Alexandria | PBE | relaxed; theoretical density = 4.90 g cm⁻³; electronic total energy = -4.133 eV per atom; symmetry = P-6m2, No. 187
1.0
4.454 0.000 0.000
2.227 3.857 0.000
0.000 0.000 4.265
Li H Co Nd
1 6 1 1
Direct
0.667 0.667 0.500
0.482 0.035 0.750
0.035 0.483 0.750
0.482 0.483 0.250
0.035 0.482 0.250
0.483 0.482 0.750
0.483 0.035 0.250
0.333 0.333 0.500
0.000 0.000 0.000

=====

MgZn3Pd2 | Alexandria | PBE | relaxed; theoretical density = 7.89 g cm⁻³; electronic total energy = -3.083 eV per atom; symmetry = C2/m, No. 12; ΔH_f (0 K) = -0.449 eV per atom
1.0
3.595 0.000 0.000
-1.797 7.311 -0.781
0.000 -3.987 7.366
Mg Pd Zn
2 4 6
Direct
0.908 0.816 0.024
0.092 0.184 0.976
0.417 0.835 0.773
0.583 0.165 0.227
0.239 0.479 0.849
0.761 0.521 0.151
0.082 0.164 0.462
0.918 0.836 0.538
0.584 0.169 0.715
0.250 0.501 0.378
0.750 0.499 0.622
0.416 0.831 0.285